Record 1
This record from the Alexandria database describes Nd12DyCo6 after structural relaxation. The functional is GGA-PBE.

As for the energy: -5.54 eV per atom. The volume comes out at 1028.19 Å³/cell. The density of states at the Fermi level is 38.2 states/eV/cell. For the formation energy, the calculation gives -0.04 eV per atom. The theoretical density comes out at 7.26 g cm⁻³.

It has space group Im-3 (No. 204), with a = 10.0931 Å, b = 10.0931 Å, c = 10.0931 Å, α = 90.00°, β = 90.00° and γ = 90.00°. The inequivalent atoms are Nd at (0.0000, 0.1947, 0.3102), Dy at (0.0000, 0.0000, 0.0000) and Co at (0.0000, 0.3890, 0.5000).

Record 2
This record from the Alexandria database describes NdDy2Co after structural relaxation. The functional is GGA-PBE.

As for the energy: -5.34 eV per atom. The volume comes out at 104.59 Å³/cell. The density of states at the Fermi level is 3.6 states/eV/cell. The value obtained for the excess energy over the best structure of this formula in the dataset is 0.26 eV/f.u. For the formation energy, the calculation gives -0.07 eV per atom. The theoretical density comes out at 8.39 g cm⁻³.

It has space group P4/mmm (No. 123), with a = 3.4140 Å, b = 3.4140 Å, c = 8.9735 Å, α = 90.00°, β = 90.00° and γ = 90.00°. The inequivalent atoms are Nd at (0.0000, 0.0000, 0.0000), Dy at (0.5000, 0.5000, 0.3211) and Co at (0.0000, 0.0000, 0.5000).

Record 3
This record from the Alexandria database describes Nd2Dy3Co2 after structural relaxation. The functional is GGA-PBE.

As for the energy: -5.49 eV per atom. The volume comes out at 361.72 Å³/cell. The density of states at the Fermi level is 15.5 states/eV/cell. For the formation energy, the calculation gives -0.13 eV per atom. The theoretical density comes out at 8.21 g cm⁻³.

It has space group C2/m (No. 12), with a = 12.2156 Å, b = 3.6572 Å, c = 9.0372 Å, α = 90.00°, β = 116.37° and γ = 90.00°. The inequivalent atoms are Nd at (0.1705, 0.0000, 0.3017), Dy at (0.0000, 0.5000, 0.5000), Dy at (0.1191, 0.5000, 0.9240) and Co at (0.1762, 0.0000, 0.7434).

Record 4
This record from the Alexandria database describes NdDy3Co after structural relaxation. The functional is GGA-PBE.

As for the energy: -5.23 eV per atom. The volume comes out at 572.16 Å³/cell. The density of states at the Fermi level is 21.2 states/eV/cell. The value obtained for the excess energy over the best structure of this formula in the dataset is 0.00 eV/f.u. For the formation energy, the calculation gives -0.09 eV per atom. The theoretical density comes out at 8.02 g cm⁻³.

It has space group C2/m (No. 12), with a = 11.6902 Å, b = 8.2548 Å, c = 8.2054 Å, α = 90.00°, β = 133.73° and γ = 90.00°. The inequivalent atoms are Nd at (0.0478, 0.0000, 0.3349), Dy at (0.0468, 0.5000, 0.2511), Dy at (0.2486, 0.2960, 0.7941) and Co at (0.2470, 0.5000, 0.1092).

Record 5
This record from the Alexandria database describes NdDyCo2 after structural relaxation. The functional is GGA-PBE.

As for the energy: -5.93 eV per atom. The volume comes out at 315.10 Å³/cell. The density of states at the Fermi level is 4.6 states/eV/cell. The value obtained for the excess energy over the best structure of this formula in the dataset is 0.36 eV/f.u. For the formation energy, the calculation gives -0.03 eV per atom. The theoretical density comes out at 8.95 g cm⁻³.

It has space group Fm-3m (No. 225), with a = 6.8048 Å, b = 6.8048 Å, c = 6.8048 Å, α = 90.00°, β = 90.00° and γ = 90.00°. The inequivalent atoms are Nd at (0.0000, 0.0000, 0.0000), Dy at (0.0000, 0.0000, 0.5000) and Co at (0.2500, 0.2500, 0.2500).

Record 6
This record from the Alexandria database describes NdDyCoNi after structural relaxation. The functional is GGA-PBE.

As for the energy: -5.72 eV per atom. The volume comes out at 318.33 Å³/cell. The density of states at the Fermi level is 13.2 states/eV/cell. For the formation energy, the calculation gives -0.16 eV per atom. The theoretical density comes out at 8.85 g cm⁻³.

It has space group F-43m (No. 216), with a = 6.8280 Å, b = 6.8280 Å, c = 6.8280 Å, α = 90.00°, β = 90.00° and γ = 90.00°. The inequivalent atoms are Nd at (0.0000, 0.0000, 0.0000), Dy at (0.0000, 0.0000, 0.5000), Co at (0.2500, 0.2500, 0.2500) and Ni at (0.2500, 0.2500, 0.7500).

Record 7
This record from the Alexandria database describes NdDyCoPt after structural relaxation. The functional is GGA-PBE.

As for the energy: -6.18 eV per atom. The volume comes out at 339.85 Å³/cell. The density of states at the Fermi level is 13.4 states/eV/cell. For the formation energy, the calculation gives -0.55 eV per atom. The theoretical density comes out at 10.96 g cm⁻³.

It has space group F-43m (No. 216), with a = 6.9785 Å, b = 6.9785 Å, c = 6.9785 Å, α = 90.00°, β = 90.00° and γ = 90.00°. The inequivalent atoms are Nd at (0.0000, 0.0000, 0.0000), Dy at (0.0000, 0.0000, 0.5000), Co at (0.2500, 0.2500, 0.7500) and Pt at (0.2500, 0.2500, 0.2500).

Record 8
This record from the Alexandria database describes Dy2Co2Ni after structural relaxation. The functional is GGA-PBE.

As for the energy: -6.00 eV per atom. The volume comes out at 174.28 Å³/cell. The density of states at the Fermi level is 8.2 states/eV/cell. For the formation energy, the calculation gives -0.16 eV per atom. The theoretical density comes out at 9.56 g cm⁻³.

It has space group P4/mbm (No. 127), with a = 6.5795 Å, b = 6.5795 Å, c = 4.0258 Å, α = 90.00°, β = 90.00° and γ = 90.00°. The inequivalent atoms are Dy at (0.1826, 0.3174, 0.0000), Co at (0.1215, 0.6215, 0.5000) and Ni at (0.0000, 0.0000, 0.5000).

Record 9
This record from the Alexandria database describes Dy2Co5Ni12 after structural relaxation. The functional is GGA-PBE.

As for the energy: -6.18 eV per atom. The volume comes out at 718.78 Å³/cell. The density of states at the Fermi level is 72.4 states/eV/cell. For the formation energy, the calculation gives -0.17 eV per atom. The theoretical density comes out at 9.18 g cm⁻³.

It has space group R-3m (No. 166, hexagonal axes), with a = 8.2844 Å, b = 8.2844 Å, c = 12.0931 Å, α = 90.00°, β = 90.00° and γ = 120.00°. The inequivalent atoms are Dy at (0.0000, 0.0000, 0.1565), Co at (0.0000, 0.0000, 0.4053), Co at (0.0000, 0.5000, 0.0000), Ni at (0.0000, 0.2960, 0.5000) and Ni at (0.0056, 0.5028, 0.3461).

Record 10
This record from the Alexandria database describes Dy4Co2Ni after structural relaxation. The functional is GGA-PBE.

As for the energy: -5.70 eV per atom. The volume comes out at 617.43 Å³/cell. The density of states at the Fermi level is 22.4 states/eV/cell. For the formation energy, the calculation gives -0.22 eV per atom. The theoretical density comes out at 8.89 g cm⁻³.

It has space group Cm (No. 8), with a = 11.0244 Å, b = 8.0450 Å, c = 7.3925 Å, α = 90.00°, β = 109.66° and γ = 90.00°. The inequivalent atoms are Dy at (0.0000, 0.0000, 0.0000), Dy at (0.9996, 0.5000, 0.0008), Dy at (0.2122, 0.2554, 0.3561), Dy at (0.2283, 0.2568, 0.8535), Dy at (0.4910, 0.5000, 0.4882), Dy at (0.4922, 0.0000, 0.4870), Co at (0.2750, 0.5000, 0.6354), Co at (0.2853, 0.5000, 0.1316), Co at (0.4296, 0.2517, 0.2088), Ni at (0.2779, 0.0000, 0.6376) and Ni at (0.2837, 0.0000, 0.1311).

Record 11
This record from the Alexandria database describes DyCo2Ni3 after structural relaxation. The functional is GGA-PBE.

As for the energy: -6.06 eV per atom. The volume comes out at 481.80 Å³/cell. The density of states at the Fermi level is 43.8 states/eV/cell. For the formation energy, the calculation gives -0.03 eV per atom. The theoretical density comes out at 9.44 g cm⁻³.

It has space group R-3m (No. 166, hexagonal axes), with a = 5.2301 Å, b = 5.2301 Å, c = 20.3385 Å, α = 90.00°, β = 90.00° and γ = 120.00°. The inequivalent atoms are Dy at (0.0000, 0.0000, 0.2133), Co at (0.0000, 0.0000, 0.0000), Co at (0.0000, 0.5000, 0.0000) and Ni at (0.0116, 0.5058, 0.2347).